# CsVOs2O8

An optimized crystal structure of CsVOs2O8 (PBE+U, Alexandria via LeMat-Bulk).

POSCAR file:
```
CsVOs2O8
1.0
-2.573 -4.190 3.074
2.167 -1.170 -5.250
7.303 -1.954 3.450
Os V O Cs
2 1 8 1
Cartesian
5.810 -3.574 -0.008 Os
1.087 -3.740 1.282 Os
3.651 -0.977 1.725 V
5.010 -2.308 0.988 O
1.887 -5.006 0.287 O
2.119 -2.269 1.345 O
7.371 -3.992 0.730 O
0.803 -4.359 2.947 O
4.777 -5.045 -0.070 O
6.093 -2.955 -1.672 O
-0.474 -3.322 0.545 O
0.000 0.000 0.000 Cs
```

Values from the calculation:
The theoretical density comes out at 4750 kg/m3. As for the space-group type: P-3, No. 147. Its uncorrected energy is -85.221 eV/cell. The density of states at the Fermi level comes out at 0.51 states/eV/atom.